! Th2AlFe2Ni5 (PBE, relaxed); values from VASP
! - Total magnetic moment: 3.0 μB/f.u.
! - Energy of formation from the pure elements: -2.30 eV/f.u.
! - Density of states at the Fermi level: 10.4 states/eV/f.u.
&SYSTEM
  ibrav = 0, nat = 20, ntyp = 4
/
ATOMIC_SPECIES
Th 232.04 Th.upf
Al 26.98 Al.upf
Fe 55.84 Fe.upf
Ni 58.69 Ni.upf
CELL_PARAMETERS angstrom
3.839 0.000 0.000
0.000 8.874 0.000
0.000 0.000 8.874
ATOMIC_POSITIONS crystal
Th 0.000 0.679 0.179
Th 0.000 0.321 0.821
Th 0.000 0.179 0.321
Th 0.000 0.821 0.679
Al 0.000 0.000 0.000
Al 0.000 0.500 0.500
Fe 0.000 0.119 0.619
Fe 0.000 0.881 0.381
Fe 0.000 0.619 0.881
Fe 0.000 0.381 0.119
Ni 0.500 0.204 0.063
Ni 0.500 0.796 0.937
Ni 0.500 0.063 0.796
Ni 0.500 0.704 0.437
Ni 0.500 0.937 0.204
Ni 0.500 0.296 0.563
Ni 0.500 0.563 0.704
Ni 0.500 0.437 0.296
Ni 0.500 0.500 0.000
Ni 0.500 0.000 0.500